The following is a DFT calculation (PBE) of K2Re after structural relaxation.

Values from the calculation:
raw total energy: -12.17 eV/f.u.
offset from the most stable computed form: 0.003 eV/f.u.
SG: Cmcm, No. 63
calculated volume: 41.3 Å³/atom

a = 11.4482 Å, b = 11.4482 Å, c = 3.6938 Å
α = 90.00°, β = 90.00°, γ = 149.22°
Last column: nearest neighbours and their distance in Å.
Element x y z (fractional)
K1 0.0708 0.9292 0.7500  6 K 3.63-3.91, 6 Re 3.66-3.79
K2 0.3178 0.6822 0.2500  4 K 3.69-3.91, 2 Re 3.80
K3 0.6822 0.3178 0.7500  4 K 3.69-3.91, 2 Re 3.80
K4 0.9292 0.0708 0.2500  6 K 3.63-3.91, 6 Re 3.66-3.79
Re1 0.4680 0.5320 0.7500  2 Re 2.32
Re2 0.5320 0.4680 0.2500  2 Re 2.32

The following is a DFT calculation (PBE) of K3Re after structural relaxation.

Values from the calculation:
raw total energy: -9.67 eV/f.u.
offset from the most stable computed form: 0.656 eV/f.u.
SG: R-3m, No. 166
calculated volume: 49.1 Å³/atom

a = 13.6032 Å, b = 13.6032 Å, c = 13.6032 Å
α = 17.39°, β = 17.39°, γ = 17.39°
Last column: nearest neighbours and their distance in Å.
Element x y z (fractional)
K1 0.0000 0.0000 0.0000  6 K 4.11
K2 0.2287 0.2287 0.2287  3 Re 3.44
K3 0.7713 0.7713 0.7713  3 Re 3.44
Re1 0.5000 0.5000 0.5000  6 K 3.44

The following is a DFT calculation (PBE) of K2Re after structural relaxation.

Values from the calculation:
raw total energy: -10.18 eV/f.u.
offset from the most stable computed form: 1.998 eV/f.u.
SG: P-3m1, No. 164
calculated volume: 25.6 Å³/atom

a = 2.9822 Å, b = 2.9822 Å, c = 9.9625 Å
α = 90.00°, β = 90.00°, γ = 120.00°
Last column: nearest neighbours and their distance in Å.
Element x y z (fractional)
K1 0.3333 0.6667 0.2871  6 K 2.98, 3 Re 3.34
K2 0.6667 0.3333 0.7129  6 K 2.98, 3 Re 3.34
Re1 0.0000 0.0000 0.0000  6 Re 2.98, 6 K 3.34

The following is a DFT calculation (PBE) of KRe8 after structural relaxation.

Values from the calculation:
raw total energy: -94.67 eV/f.u.
SG: I4/mmm, No. 139
calculated volume: 16.7 Å³/atom

a = 6.3772 Å, b = 6.3772 Å, c = 6.3772 Å
α = 96.03°, β = 96.03°, γ = 142.19°
Last column: nearest neighbours and their distance in Å.
Element x y z (fractional)
K1 0.0000 0.0000 0.0000  12 Re 3.00-3.10
Re1 0.0000 0.3518 0.3518  7 Re 2.53-2.73
Re2 0.0000 0.6482 0.6482  7 Re 2.53-2.73
Re3 0.3089 0.3089 0.6178  4 Re 2.51-2.66
Re4 0.3089 0.6911 0.0000  4 Re 2.51-2.66
Re5 0.3518 0.0000 0.3518  7 Re 2.53-2.73
Re6 0.6482 0.0000 0.6482  7 Re 2.53-2.73
Re7 0.6911 0.3089 0.0000  4 Re 2.51-2.66
Re8 0.6911 0.6911 0.3822  4 Re 2.51-2.66

The following is a DFT calculation (PBE) of K2Re after structural relaxation.

Values from the calculation:
raw total energy: -11.19 eV/f.u.
offset from the most stable computed form: 0.982 eV/f.u.
SG: I4/mcm, No. 140
calculated volume: 35.3 Å³/atom

a = 7.0731 Å, b = 7.0731 Å, c = 7.0731 Å
α = 96.54°, β = 96.54°, γ = 140.56°
Last column: nearest neighbours and their distance in Å.
Element x y z (fractional)
K1 0.1634 0.6634 0.8268  2 K 3.32
K2 0.3366 0.1634 0.5000  2 K 3.32
K3 0.6634 0.8366 0.5000  2 K 3.32
K4 0.8366 0.3366 0.1732  2 K 3.32
Re1 0.2500 0.2500 0.0000  2 Re 2.39
Re2 0.7500 0.7500 0.0000  2 Re 2.39

The following is a DFT calculation (PBE) of K2ReRh after structural relaxation.

Values from the calculation:
raw total energy: -17.32 eV/f.u.
offset from the most stable computed form: 2.135 eV/f.u.
SG: P4/mmm, No. 123
calculated volume: 20.9 Å³/atom

a = 2.7226 Å, b = 2.7226 Å, c = 11.2767 Å
α = 90.00°, β = 90.00°, γ = 90.00°
Last column: nearest neighbours and their distance in Å.
Element x y z (fractional)
K1 0.0000 0.0000 0.2411  4 K 2.72
K2 0.0000 0.0000 0.7589  4 K 2.72
Re1 0.5000 0.5000 0.5000  4 Re 2.72
Rh1 0.5000 0.5000 0.0000  4 Rh 2.72

The following is a DFT calculation (PBE) of KReRh2 after structural relaxation.

Values from the calculation:
raw total energy: -25.59 eV/f.u.
offset from the most stable computed form: 1.379 eV/f.u.
SG: Cm, No. 8
calculated volume: 20.9 Å³/atom

a = 4.8371 Å, b = 4.8371 Å, c = 6.5378 Å
α = 96.84°, β = 96.84°, γ = 33.45°
Last column: nearest neighbours and their distance in Å.
Element x y z (fractional)
K1 0.0000 0.0000 0.0000  2 K 2.78, 1 Rh 3.11
Re1 0.2202 0.2202 0.6097  5 Rh 2.50-2.66, 2 Re 2.78
Rh1 0.4926 0.4926 0.5215  3 Re 2.53-2.66, 4 Rh 2.72-2.78
Rh2 0.7703 0.7703 0.3080  2 Re 2.50, 4 Rh 2.72-2.78

The following is a DFT calculation (PBE) of KReRh2 after structural relaxation.

Values from the calculation:
raw total energy: -24.61 eV/f.u.
offset from the most stable computed form: 2.354 eV/f.u.
SG: Cmmm, No. 65
calculated volume: 16.7 Å³/atom

a = 4.9451 Å, b = 4.9451 Å, c = 2.7707 Å
α = 90.00°, β = 90.00°, γ = 98.63°
Last column: nearest neighbours and their distance in Å.
Element x y z (fractional)
K1 0.0000 0.0000 0.0000  2 K 2.77, 8 Rh 2.83
Re1 0.5000 0.5000 0.0000  2 Re 2.77, 8 Rh 2.83
Rh1 0.0000 0.5000 0.5000  2 Rh 2.77, 4 Re 2.83, 4 K 2.83
Rh2 0.5000 0.0000 0.5000  2 Rh 2.77, 4 Re 2.83, 4 K 2.83

The following is a DFT calculation (PBE) of KReRh2 after structural relaxation.

Values from the calculation:
raw total energy: -25.02 eV/f.u.
offset from the most stable computed form: 1.944 eV/f.u.
SG: P4mm, No. 99
calculated volume: 20.2 Å³/atom

a = 3.1477 Å, b = 3.1477 Å, c = 8.1473 Å
α = 90.00°, β = 90.00°, γ = 90.00°
Last column: nearest neighbours and their distance in Å.
Element x y z (fractional)
K1 0.0000 0.0000 0.0000  4 K 3.15, 4 Rh 3.38
Re1 0.5000 0.5000 0.3504  5 Rh 2.53-2.74
Rh1 0.0000 0.0000 0.4982  4 Re 2.53, 4 Rh 2.71
Rh2 0.5000 0.5000 0.6872  4 Rh 2.71, 1 Re 2.74

The following is a DFT calculation (PBE) of KReRh2 after structural relaxation.

Values from the calculation:
raw total energy: -24.59 eV/f.u.
offset from the most stable computed form: 2.377 eV/f.u.
SG: P4/mmm, No. 123
calculated volume: 16.8 Å³/atom

a = 4.9123 Å, b = 4.9123 Å, c = 2.7812 Å
α = 90.00°, β = 90.00°, γ = 90.00°
Last column: nearest neighbours and their distance in Å.
Element x y z (fractional)
K1 0.0000 0.0000 0.0000  2 K 2.78, 8 Rh 2.82
Re1 0.5000 0.5000 0.0000  2 Re 2.78, 8 Rh 2.82
Rh1 0.0000 0.5000 0.5000  2 Rh 2.78, 4 K 2.82, 4 Re 2.82
Rh2 0.5000 0.0000 0.5000  2 Rh 2.78, 4 K 2.82, 4 Re 2.82

The following is a DFT calculation (PBE) of KReRh2 after structural relaxation.

Values from the calculation:
raw total energy: -22.83 eV/f.u.
offset from the most stable computed form: 4.143 eV/f.u.
SG: F-43m, No. 216
calculated volume: 16.6 Å³/atom

a = 4.5447 Å, b = 4.5447 Å, c = 4.5447 Å
α = 60.00°, β = 60.00°, γ = 60.00°
Last column: nearest neighbours and their distance in Å.
Element x y z (fractional)
K1 0.0000 0.0000 0.0000  4 Rh 2.78, 4 Re 2.78
Re1 0.2500 0.2500 0.2500  4 Rh 2.78, 4 K 2.78
Rh1 0.5000 0.5000 0.5000  4 Re 2.78, 4 Rh 2.78
Rh2 0.7500 0.7500 0.7500  4 Rh 2.78, 4 K 2.78

The following is a DFT calculation (PBE) of KReRh2 after structural relaxation.

Values from the calculation:
raw total energy: -26.40 eV/f.u.
offset from the most stable computed form: 0.568 eV/f.u.
SG: R-3m, No. 166
calculated volume: 17.3 Å³/atom

a = 10.0585 Å, b = 10.0585 Å, c = 10.0585 Å
α = 16.22°, β = 16.22°, γ = 16.22°
Last column: nearest neighbours and their distance in Å.
Element x y z (fractional)
K1 0.0000 0.0000 0.0000  6 K 2.84
Re1 0.5000 0.5000 0.5000  6 Rh 2.66, 6 Re 2.84
Rh1 0.2370 0.2370 0.2370  3 Re 2.66, 6 Rh 2.84
Rh2 0.7630 0.7630 0.7630  3 Re 2.66, 6 Rh 2.84

The following is a DFT calculation (PBE) of KReRh2 after structural relaxation.

Values from the calculation:
raw total energy: -24.25 eV/f.u.
offset from the most stable computed form: 2.721 eV/f.u.
SG: I-42d, No. 122
calculated volume: 21.8 Å³/atom

a = 6.1267 Å, b = 6.1267 Å, c = 6.1267 Å
α = 105.42°, β = 105.42°, γ = 117.91°
Last column: nearest neighbours and their distance in Å.
Element x y z (fractional)
K1 0.0000 0.0000 0.0000  8 Rh 3.14-3.28, 2 Re 3.16
K2 0.7500 0.2500 0.5000  8 Rh 3.14-3.28, 2 Re 3.16
Re1 0.2500 0.7500 0.5000  4 Rh 2.40
Re2 0.5000 0.5000 0.0000  4 Rh 2.40
Rh1 0.1989 0.6250 0.0739  2 Re 2.40
Rh2 0.3750 0.4489 0.5739  2 Re 2.40
Rh3 0.5511 0.1250 0.9261  2 Re 2.40
Rh4 0.8750 0.8011 0.4261  2 Re 2.40

The following is a DFT calculation (PBE) of K2ReRh after structural relaxation.

Values from the calculation:
raw total energy: -17.79 eV/f.u.
offset from the most stable computed form: 1.666 eV/f.u.
SG: Imm2, No. 44
calculated volume: 30.1 Å³/atom

a = 6.2876 Å, b = 6.2876 Å, c = 6.2876 Å
α = 143.21°, β = 124.64°, γ = 68.33°
Last column: nearest neighbours and their distance in Å.
Element x y z (fractional)
K1 0.0000 0.0000 0.0000  4 Re 3.57-3.73, 6 K 3.62-3.97, 4 Rh 3.63
K2 0.7053 0.2053 0.5000  4 Rh 3.57-3.68, 6 K 3.62-3.97, 4 Re 3.68
Re1 0.3035 0.8035 0.5000  2 Rh 2.32
Rh1 0.4199 0.4199 0.0000  2 Re 2.32

The following is a DFT calculation (PBE) of K2ReRh after structural relaxation.

Values from the calculation:
raw total energy: -17.27 eV/f.u.
offset from the most stable computed form: 2.190 eV/f.u.
SG: P2/m, No. 10
calculated volume: 20.1 Å³/atom

a = 2.8092 Å, b = 5.7958 Å, c = 4.9472 Å
α = 90.00°, β = 93.68°, γ = 90.00°
Last column: nearest neighbours and their distance in Å.
Element x y z (fractional)
K1 0.2338 0.0000 0.2543  6 K 2.76-3.01
K2 0.7662 0.0000 0.7457  6 K 2.76-3.01
Re1 0.5000 0.5000 0.0000  4 Rh 2.77-2.92, 2 Re 2.81
Rh1 0.0000 0.5000 0.5000  4 Re 2.77-2.92, 2 Rh 2.81

The following is a DFT calculation (PBE) of KReRh2 after structural relaxation.

Values from the calculation:
raw total energy: -26.97 eV/f.u.
offset from the most stable computed form: 0.000 eV/f.u.
SG: P4/mmm, No. 123
calculated volume: 18.3 Å³/atom

a = 2.8727 Å, b = 2.8727 Å, c = 8.8509 Å
α = 90.00°, β = 90.00°, γ = 90.00°
Last column: nearest neighbours and their distance in Å.
Element x y z (fractional)
K1 0.0000 0.0000 0.0000  4 K 2.87
Re1 0.0000 0.0000 0.5000  8 Rh 2.65, 4 Re 2.87
Rh1 0.5000 0.5000 0.3076  4 Re 2.65, 4 Rh 2.87
Rh2 0.5000 0.5000 0.6924  4 Re 2.65, 4 Rh 2.87

The following is a DFT calculation (PBE) of K3ReRh after structural relaxation.

Values from the calculation:
raw total energy: -14.36 eV/f.u.
offset from the most stable computed form: 0.000 eV/f.u.
SG: Pm-3m, No. 221
calculated volume: 42.5 Å³/atom

a = 5.9690 Å, b = 5.9690 Å, c = 5.9690 Å
α = 90.00°, β = 90.00°, γ = 90.00°
Last column: nearest neighbours and their distance in Å.
Element x y z (fractional)
K1 0.0000 0.0000 0.5000  2 Rh 2.98
K2 0.0000 0.5000 0.0000  2 Rh 2.98
K3 0.5000 0.0000 0.0000  2 Rh 2.98
Re1 0.5000 0.5000 0.5000  12 K 4.22
Rh1 0.0000 0.0000 0.0000  6 K 2.98

The following is a DFT calculation (PBE) of KReRh2 after structural relaxation.

Values from the calculation:
raw total energy: -25.52 eV/f.u.
offset from the most stable computed form: 1.451 eV/f.u.
SG: Cmm2, No. 35
calculated volume: 18.0 Å³/atom

a = 2.7411 Å, b = 2.7411 Å, c = 9.6036 Å
α = 90.00°, β = 90.00°, γ = 90.13°
Last column: nearest neighbours and their distance in Å.
Element x y z (fractional)
K1 0.0000 0.0000 0.0000  4 K 2.74
Re1 0.5000 0.5000 0.6819  4 Rh 2.68, 4 Re 2.74
Rh1 0.0000 0.0000 0.4895  4 Re 2.68, 8 Rh 2.74-2.78
Rh2 0.5000 0.5000 0.2819  8 Rh 2.74-2.78

The following is a DFT calculation (PBE) of K2ReRh after structural relaxation.

Values from the calculation:
raw total energy: -16.90 eV/f.u.
offset from the most stable computed form: 2.555 eV/f.u.
SG: I-42d, No. 122
calculated volume: 44.9 Å³/atom

a = 9.0472 Å, b = 9.0472 Å, c = 9.0472 Å
α = 93.89°, β = 93.89°, γ = 149.81°
Last column: nearest neighbours and their distance in Å.
Element x y z (fractional)
K1 0.3750 0.1950 0.3200  2 Rh 3.26
K2 0.8050 0.1250 0.1800  2 Rh 3.26
K3 0.8750 0.0550 0.6800  2 Rh 3.26
K4 0.9450 0.6250 0.8200  2 Rh 3.26
Re1 0.2500 0.7500 0.5000  2 Rh 2.36
Re2 0.5000 0.5000 0.0000  2 Rh 2.36
Rh1 0.0000 0.0000 0.0000  2 Re 2.36
Rh2 0.7500 0.2500 0.5000  2 Re 2.36

The following is a DFT calculation (PBE) of K2ReRh after structural relaxation.

Values from the calculation:
raw total energy: -17.26 eV/f.u.
offset from the most stable computed form: 2.196 eV/f.u.
SG: C2/m, No. 12
calculated volume: 20.1 Å³/atom

a = 6.4372 Å, b = 6.4372 Å, c = 2.8088 Å
α = 101.51°, β = 101.51°, γ = 128.88°
Last column: nearest neighbours and their distance in Å.
Element x y z (fractional)
K1 0.0000 0.5000 0.0000  6 K 2.78-2.90
K2 0.5000 0.0000 0.0000  6 K 2.78-2.90
Re1 0.0000 0.0000 0.5000  4 Rh 2.78-2.90, 2 Re 2.81
Rh1 0.5000 0.5000 0.5000  4 Re 2.78-2.90, 2 Rh 2.81

Number 1: formation enthalpy at 0 K 824 meV/atom. Number 2: formation enthalpy at 0 K 1517 meV/atom. Number 3: formation enthalpy at 0 K 1489 meV/atom. Number 4: formation enthalpy at 0 K 668 meV/atom. Number 5: formation enthalpy at 0 K 1150 meV/atom. Number 6: formation enthalpy at 0 K 1168 meV/atom. Number 7: formation enthalpy at 0 K 665 meV/atom. Number 8: formation enthalpy at 0 K 908 meV/atom. Number 9: formation enthalpy at 0 K 806 meV/atom. Number 10: formation enthalpy at 0 K 914 meV/atom. Number 11: formation enthalpy at 0 K 1356 meV/atom. Number 12: formation enthalpy at 0 K 462 meV/atom. Number 13: formation enthalpy at 0 K 1000 meV/atom. Number 14: formation enthalpy at 0 K 1050 meV/atom. Number 15: formation enthalpy at 0 K 1181 meV/atom. Number 16: formation enthalpy at 0 K 320 meV/atom. Number 17: formation enthalpy at 0 K 1747 meV/atom. Number 18: formation enthalpy at 0 K 683 meV/atom. Number 19: formation enthalpy at 0 K 1273 meV/atom. Number 20: formation enthalpy at 0 K 1183 meV/atom.